First-principles (PBE) data for TmTe2Pb after structural relaxation, as listed in Alexandria via LeMat-Bulk.

Output
Its raw formation energy is -0.7551 eV per atom. Its space-group type is R-3m.

Unit cell a=4.2031 b=4.2031 c=9.1003 alpha=76.65 beta=76.65 gamma=60.00
Sites, in units of the cell vectors:
1 Pb 0.0000 0.0000 0.0000
2 Tm 0.5000 0.5000 0.5000
3 Te 0.2360 0.2360 0.2919
4 Te 0.7640 0.7640 0.7081

=====

First-principles (PBE) data for HfMg3Au4 after structural relaxation, as listed in Alexandria via LeMat-Bulk.

Output
The formation energy comes out at -443.5 kJ/mol of formula units. Its space-group type is P4/mmm.

Unit cell a=3.3109 b=3.3109 c=13.4682 alpha=90.00 beta=90.00 gamma=90.00
Site moments in Bohr magnetons follow the coordinates.
Sites, in units of the cell vectors:
1 Au 0.0000 0.0000 0.8698  0.01
2 Au 0.0000 0.0000 0.1302  0.01
3 Au 0.0000 0.0000 0.3791  0.00
4 Au 0.0000 0.0000 0.6209  0.00
5 Mg 0.5000 0.5000 0.2573  0.00
6 Mg 0.5000 0.5000 0.5000  0.00
7 Mg 0.5000 0.5000 0.7427  0.00
8 Hf 0.5000 0.5000 0.0000  0.11

=====

First-principles (PBE) data for Dy12Ho6Th after structural relaxation, as listed in Alexandria via LeMat-Bulk.

Output
The formation energy comes out at 267.1 kJ/mol of formula units. Its space-group type is R-3. For the polymorph energy (0 for the lowest one), the calculation gives 0.0 meV per atom.

Unit cell a=8.4931 b=8.4931 c=8.4931 alpha=88.67 beta=88.67 gamma=88.67
Sites, in units of the cell vectors:
1 Dy 0.7755 0.5416 0.4380
2 Dy 0.4380 0.7755 0.5416
3 Dy 0.5416 0.4380 0.7755
4 Dy 0.2245 0.4584 0.5620
5 Dy 0.5620 0.2245 0.4584
6 Dy 0.4584 0.5620 0.2245
7 Dy 0.0102 0.2076 0.3510
8 Dy 0.7924 0.6490 0.9898
9 Dy 0.6490 0.9898 0.7924
10 Dy 0.9898 0.7924 0.6490
11 Dy 0.2076 0.3510 0.0102
12 Dy 0.3510 0.0102 0.2076
13 Ho 0.7450 0.9074 0.3090
14 Ho 0.6910 0.2550 0.0926
15 Ho 0.0926 0.6910 0.2550
16 Ho 0.2550 0.0926 0.6910
17 Ho 0.3090 0.7450 0.9074
18 Ho 0.9074 0.3090 0.7450
19 Th 0.0000 0.0000 0.0000

=====

First-principles (PBE) data for K3PmNp2S6 after structural relaxation, as listed in Alexandria via LeMat-Bulk.

Output
Its raw formation energy is -1.5422 eV per atom. Its space-group type is C2/m.

Unit cell a=7.1289 b=7.1289 c=7.7464 alpha=98.83 beta=98.83 gamma=120.00
Site moments in Bohr magnetons follow the coordinates.
Sites, in units of the cell vectors:
1 K 0.1654 0.8346 0.5000  0.00
2 K 0.8346 0.1654 0.5000  0.00
3 K 0.5000 0.5000 0.5000  0.00
4 Pm 0.0000 0.0000 0.0000  0.09
5 Np 0.3332 0.6668 0.0000  3.86
6 Np 0.6668 0.3332 0.0000  3.86
7 S 0.9322 0.5924 0.7968  -0.06
8 S 0.7278 0.7278 0.2031  -0.06
9 S 0.0678 0.4076 0.2032  -0.06
10 S 0.5924 0.9322 0.7968  -0.06
11 S 0.2722 0.2722 0.7969  -0.06
12 S 0.4076 0.0678 0.2032  -0.06

=====

First-principles (PBE) data for MgPb2Se after structural relaxation, as listed in Alexandria via LeMat-Bulk.

Output
Its raw formation energy is -0.3740 eV per atom. Its space-group type is P4mm.

Unit cell a=3.6379 b=3.6379 c=9.2417 alpha=90.00 beta=90.00 gamma=90.00
Sites, in units of the cell vectors:
1 Mg 0.5000 0.5000 0.5914
2 Pb 0.0000 0.0000 0.0088
3 Pb 0.5000 0.5000 0.2495
4 Se 0.0000 0.0000 0.6503

=====

First-principles (PBE) data for Y3RhPb2 after structural relaxation, as listed in Alexandria via LeMat-Bulk.

Output
The formation energy comes out at -369.0 kJ/mol of formula units. Its space-group type is Pnma.

Unit cell a=4.4136 b=11.7816 c=12.5445 alpha=90.00 beta=90.00 gamma=90.00
Sites, in units of the cell vectors:
1 Y 0.2500 0.3675 0.0530
2 Y 0.7500 0.6325 0.9470
3 Y 0.7500 0.8675 0.4470
4 Y 0.2500 0.1325 0.5530
5 Y 0.2500 0.7108 0.2453
6 Y 0.7500 0.2892 0.7547
7 Y 0.7500 0.2108 0.2547
8 Y 0.2500 0.7892 0.7453
9 Y 0.2500 0.4573 0.3788
10 Y 0.7500 0.5427 0.6212
11 Y 0.7500 0.9573 0.1212
12 Y 0.2500 0.0427 0.8788
13 Rh 0.2500 0.1310 0.1269
14 Rh 0.7500 0.8690 0.8731
15 Rh 0.7500 0.6310 0.3731
16 Rh 0.2500 0.3690 0.6269
17 Pb 0.2500 0.6925 0.5093
18 Pb 0.7500 0.3075 0.4907
19 Pb 0.7500 0.1925 0.9907
20 Pb 0.2500 0.8075 0.0093
21 Pb 0.2500 0.0002 0.3161
22 Pb 0.7500 0.9998 0.6839
23 Pb 0.7500 0.5002 0.1839
24 Pb 0.2500 0.4998 0.8161

=====

First-principles (PBE) data for YMn2Br after structural relaxation, as listed in Alexandria via LeMat-Bulk.

Output
Its raw formation energy is 0.3350 eV per atom. Its space-group type is I-4m2. For the polymorph energy (0 for the lowest one), the calculation gives 427.9 meV per atom.

Unit cell a=5.4245 b=5.4245 c=5.4245 alpha=132.16 beta=132.16 gamma=69.98
Site moments in Bohr magnetons follow the coordinates.
Sites, in units of the cell vectors:
1 Br 0.7500 0.2500 0.5000  0.12
2 Mn 0.0000 0.0000 0.0000  3.78
3 Mn 0.2500 0.7500 0.5000  3.78
4 Y 0.5000 0.5000 0.0000  -0.27

=====

First-principles (PBE) data for TbPuRu4 after structural relaxation, as listed in Alexandria via LeMat-Bulk.

Output
The formation energy comes out at -118.8 kJ/mol of formula units. Its space-group type is F-43m.

Unit cell a=5.3332 b=5.3332 c=5.3332 alpha=60.00 beta=60.00 gamma=60.00
Site moments in Bohr magnetons follow the coordinates.
Sites, in units of the cell vectors:
1 Ru 0.6251 0.6251 0.1247  0.52
2 Ru 0.6251 0.1247 0.6251  0.52
3 Ru 0.6251 0.6251 0.6251  0.52
4 Ru 0.1247 0.6251 0.6251  0.52
5 Tb 0.2500 0.2500 0.2500  -0.15
6 Pu 0.0000 0.0000 0.0000  -4.96